[1]
SrBe2BTe | meta-GGA SCAN | single point on PBEsol structure

## Properties
Space group   P4/mmm (123)
Total DFT energy (no corrections)   -12.8701 eV/atom
Fermi-level density of states   2.8 states/eV/f.u.
ΔE_f (raw)   2262 meV/atom

Lattice parameters (Å, degrees): 4.8282 5.1758 5.1758 90.00 90.00 90.00
Last column: nearest neighbours and their distance in Å.
Fractional coordinates of all 5 atoms:
B  0.5000  0.0000  0.0000  2 Sr 2.41
Be  0.0000  0.5000  0.0000  2 Sr 2.59
Be  0.0000  0.0000  0.5000  2 Sr 2.59
Sr  0.0000  0.0000  0.0000  2 B 2.41, 4 Be 2.59
Te  0.5000  0.5000  0.5000  8 Be 3.54, 4 B 3.66

[2]
KCaPb2 | meta-GGA SCAN | single point on PBEsol structure

## Properties
Formation enthalpy at 0 K   -0.284 eV per atom
Space group   F-43m (216)
Total DFT energy (no corrections)   -42.6722 eV/atom
Fermi-level density of states   1.7 states/eV/f.u.

Lattice parameters (Å, degrees): 5.6597 5.6597 5.6597 60.00 60.00 60.00
Last column: nearest neighbours and their distance in Å.
Fractional coordinates of all 4 atoms:
Ca  0.5000  0.5000  0.5000  4 Pb 3.47, 4 K 3.47
Pb  0.7500  0.7500  0.7500  4 Ca 3.47, 4 Pb 3.47
Pb  0.0000  0.0000  0.0000  4 Pb 3.47, 4 K 3.47
K  0.2500  0.2500  0.2500  4 Pb 3.47, 4 Ca 3.47

[3]
CuSi2OsN | meta-GGA SCAN | single point on PBEsol structure

## Properties
Space group   P4/mmm (123)
Total DFT energy (no corrections)   -21.8298 eV/atom
Fermi-level density of states   3.5 states/eV/f.u.
ΔE_f (raw)   1451 meV/atom

Lattice parameters (Å, degrees): 3.2483 4.6171 4.6171 90.00 90.00 90.00
Last column: nearest neighbours and their distance in Å.
Fractional coordinates of all 5 atoms:
Os  0.5000  0.5000  0.5000  8 Si 2.82
Si  0.0000  0.0000  0.5000  2 Cu 2.31
Si  0.0000  0.5000  0.0000  2 Cu 2.31
Cu  0.0000  0.0000  0.0000  2 N 1.62
N  0.5000  0.0000  0.0000  2 Cu 1.62

[4]
PrSnPt | meta-GGA SCAN | single point on PBEsol structure

## Properties
Formation enthalpy at 0 K   -1.223 eV per atom
Space group   P-62m (189)
Total DFT energy (no corrections)   -51.0362 eV/atom
Fermi-level density of states   0.8 states/eV/f.u.

Lattice parameters (Å, degrees): 4.1120 7.5565 7.5565 120.00 90.00 90.00
Last column: nearest neighbours and their distance in Å.
Fractional coordinates of all 9 atoms:
Pt  0.5000  0.3333  0.6667  3 Sn 2.87, 6 Pr 3.07
Pt  0.5000  0.6667  0.3333  3 Sn 2.87, 6 Pr 3.07
Pt  0.0000  0.0000  0.0000  6 Sn 2.80, 3 Pr 3.10
Sn  0.5000  0.7476  0.0000  4 Pt 2.80-2.87
Sn  0.5000  0.0000  0.7476  4 Pt 2.80-2.87
Sn  0.5000  0.2524  0.2524  4 Pt 2.80-2.87
Pr  0.0000  0.5893  0.5893  5 Pt 3.07-3.10, 6 Sn 3.27-3.40
Pr  0.0000  0.4107  0.0000  5 Pt 3.07-3.10, 6 Sn 3.27-3.40
Pr  0.0000  0.0000  0.4107  5 Pt 3.07-3.10, 6 Sn 3.27-3.40

[5]
HfTcS3 | meta-GGA SCAN | single point on PBEsol structure

## Properties
Space group   Pm-3m (221)
Total DFT energy (no corrections)   -25.1842 eV/atom
Fermi-level density of states   3.3 states/eV/f.u.
ΔE_f (raw)   139 meV/atom

Lattice parameters (Å, degrees): 4.5128 4.5128 4.5128 90.00 90.00 90.00
Last column: nearest neighbours and their distance in Å.
Fractional coordinates of all 5 atoms:
S  0.0000  0.0000  0.5000  2 Tc 2.26
S  0.0000  0.5000  0.0000  2 Tc 2.26
S  0.5000  0.0000  0.0000  2 Tc 2.26
Hf  0.5000  0.5000  0.5000  12 S 3.19
Tc  0.0000  0.0000  0.0000  6 S 2.26

[6]
K2AgIr | meta-GGA SCAN | single point on PBEsol structure

## Properties
Formation enthalpy at 0 K   0.744 eV per atom
Space group   C2/m (12)
Polymorph energy (0 for the lowest one)   0 kJ/mol of formula units
Total DFT energy (no corrections)   -29.0371 eV/atom
Fermi-level density of states   1.4 states/eV/f.u.

Lattice parameters (Å, degrees): 2.8330 5.6229 5.4564 96.03 90.00 104.59
Last column: nearest neighbours and their distance in Å.
Fractional coordinates of all 4 atoms:
Ag  0.0000  0.0000  0.5000  2 Ag 2.83, 4 Ir 3.07, 2 K 3.15
Ir  0.5000  0.0000  0.0000  2 Ir 2.83, 4 Ag 3.07
K  0.7544  0.5089  0.7555  6 K 2.83-3.12, 1 Ag 3.15
K  0.2456  0.4911  0.2445  6 K 2.83-3.12, 1 Ag 3.15